(1)
VASP calculation (PBE-GGA) on crystalline CaAc2Er at its relaxed geometry. Values from VASP.

```
&SYSTEM
  ibrav = 0, nat = 4, ntyp = 3
/
ATOMIC_SPECIES
Ac 227.00 Ac.upf
Er 167.26 Er.upf
Ca 40.08 Ca.upf
ATOMIC_POSITIONS crystal
Ac 0.000 0.000 0.500
Ac 0.000 0.500 0.000
Er 0.500 0.500 0.500
Ca 0.500 0.000 0.000
CELL_PARAMETERS angstrom
4.918 0.000 0.000
0.000 5.695 0.000
0.000 0.000 5.695
```

Properties
ΔE_f in kJ/mol of formula units: 34
E above lowest polymorph in kJ/mol of formula units: 13

(2)
VASP calculation (PBE-GGA) on crystalline CaAcEr at its relaxed geometry. Values from VASP.

```
&SYSTEM
  ibrav = 0, nat = 6, ntyp = 3
/
ATOMIC_SPECIES
Ca 40.08 Ca.upf
Ac 227.00 Ac.upf
Er 167.26 Er.upf
ATOMIC_POSITIONS crystal
Ca 0.214 0.750 0.429
Ac 0.894 0.750 0.788
Er 0.451 0.250 0.903
Ac 0.106 0.250 0.212
Er 0.549 0.750 0.097
Ca 0.786 0.250 0.571
CELL_PARAMETERS angstrom
3.733 0.000 -0.548
0.000 6.006 0.000
-0.375 0.000 10.435
```

Properties
ΔE_f in kJ/mol of formula units: 17
E above lowest polymorph in kJ/mol of formula units: 0

(3)
VASP calculation (PBE-GGA) on crystalline Ca2Ac15Er2 at its relaxed geometry. Values from VASP.

```
&SYSTEM
  ibrav = 0, nat = 19, ntyp = 3
/
ATOMIC_SPECIES
Er 167.26 Er.upf
Ca 40.08 Ca.upf
Ac 227.00 Ac.upf
ATOMIC_POSITIONS crystal
Er 0.909 0.909 0.909
Ca 0.324 0.324 0.324
Ac 0.144 0.643 0.643
Ac 0.293 0.707 0.000
Ac 0.643 0.144 0.643
Ac 0.357 0.357 0.856
Ac 0.293 0.000 0.707
Ac 0.000 0.707 0.293
Ac 0.357 0.856 0.357
Ac 0.500 0.000 0.000
Ac 0.000 0.000 0.500
Ac 0.707 0.293 0.000
Ac 0.707 0.000 0.293
Ac 0.000 0.293 0.707
Ac 0.000 0.500 0.000
Ac 0.856 0.357 0.357
Ac 0.643 0.643 0.144
Ca 0.676 0.676 0.676
Er 0.091 0.091 0.091
CELL_PARAMETERS angstrom
9.503 -0.314 1.861
1.472 9.393 1.861
-0.379 -0.314 9.676
```

Properties
ΔE_f in kJ/mol of formula units: 493

(4)
VASP calculation (PBE-GGA) on crystalline CaAcEr2 at its relaxed geometry. Values from VASP.

```
&SYSTEM
  ibrav = 0, nat = 4, ntyp = 3
/
ATOMIC_SPECIES
Ac 227.00 Ac.upf
Er 167.26 Er.upf
Ca 40.08 Ca.upf
ATOMIC_POSITIONS crystal
Ac 0.500 0.500 0.000
Er 0.000 0.000 0.245
Er 0.000 0.000 0.755
Ca 0.500 0.500 0.500
CELL_PARAMETERS angstrom
3.776 0.000 0.000
0.000 3.776 0.000
0.000 0.000 10.217
```

Properties
ΔE_f in kJ/mol of formula units: 48
E above lowest polymorph in kJ/mol of formula units: 6

(5)
VASP calculation (PBE-GGA) on crystalline Ca2Ac5Er at its relaxed geometry. Values from VASP.

```
&SYSTEM
  ibrav = 0, nat = 8, ntyp = 3
/
ATOMIC_SPECIES
Ac 227.00 Ac.upf
Ca 40.08 Ca.upf
Er 167.26 Er.upf
ATOMIC_POSITIONS crystal
Ac 0.121 0.621 0.241
Ca 0.251 0.251 0.502
Ac 0.500 0.500 0.000
Ac 0.621 0.121 0.241
Ac 0.879 0.379 0.759
Ac 0.379 0.879 0.759
Ca 0.749 0.749 0.498
Er 0.000 0.000 0.000
CELL_PARAMETERS angstrom
5.405 0.000 -1.048
-0.203 5.401 -1.048
-0.516 -0.536 11.799
```

Properties
ΔE_f in kJ/mol of formula units: 32

(6)
VASP calculation (PBE-GGA) on crystalline CaAc9Er2 at its relaxed geometry. Values from VASP.

```
&SYSTEM
  ibrav = 0, nat = 12, ntyp = 3
/
ATOMIC_SPECIES
Ac 227.00 Ac.upf
Ca 40.08 Ca.upf
Er 167.26 Er.upf
ATOMIC_POSITIONS crystal
Ac 0.500 0.500 0.336
Ac 0.000 0.500 0.172
Ca 0.000 0.000 0.000
Ac 0.500 0.000 0.172
Ac 0.500 0.500 0.664
Er 0.000 0.000 0.666
Ac 0.500 0.000 0.500
Er 0.000 0.000 0.334
Ac 0.000 0.500 0.828
Ac 0.500 0.500 0.000
Ac 0.500 0.000 0.828
Ac 0.000 0.500 0.500
CELL_PARAMETERS angstrom
-0.055 -4.425 -3.291
5.085 1.232 -1.741
6.404 -9.166 12.218
```

Properties
ΔE_f in kJ/mol of formula units: 39

Question: Which value of ΔE_f does entry 6 give?
Answer: 39 kJ/mol of formula units